# 1
# LaGeBiO5

LaGeBiO5 after structural relaxation (PBE, the Alexandria database).

The structure in POSCAR format:
```
LaGeBiO5
1.0
-2.861 -3.203 -4.286
5.225 -2.808 1.277
-4.241 -1.659 6.282
La Ge Bi O
2 2 2 10
direct
0.342 0.658 0.250 La
0.658 0.342 0.750 La
0.681 0.319 0.250 Ge
0.319 0.681 0.750 Ge
0.000 0.000 0.500 Bi
0.000 0.000 0.000 Bi
0.118 0.882 0.250 O
0.882 0.118 0.750 O
0.923 0.347 0.147 O
0.077 0.653 0.853 O
0.653 0.077 0.353 O
0.347 0.923 0.647 O
0.716 0.583 0.423 O
0.284 0.417 0.577 O
0.417 0.284 0.077 O
0.583 0.716 0.923 O
```

Values from the calculation:
- E_form (uncorrected) (eV per atom) = -2.079

---

# 2
# HoSc2Sb

HoSc2Sb after structural relaxation (PBE, the Alexandria database).

The structure in POSCAR format:
```
HoSc2Sb
1.0
6.047 1.214 0.000
-2.029 3.465 0.000
0.000 0.000 8.844
Ho Sc Sb
2 4 2
direct
0.396 0.948 0.750 Ho
0.604 0.052 0.250 Ho
0.228 0.364 0.453 Sc
0.772 0.636 0.547 Sc
0.228 0.364 0.047 Sc
0.772 0.636 0.953 Sc
0.023 0.761 0.250 Sb
0.977 0.239 0.750 Sb
```

Values from the calculation:
- E_form (uncorrected) (eV per atom) = -0.558

---

# 3
# TbSmCuIr

TbSmCuIr after structural relaxation (PBE, the Alexandria database).

The structure in POSCAR format:
```
TbSmCuIr
1.0
4.938 0.000 0.000
2.469 4.276 0.000
2.469 1.425 4.032
Ir Tb Cu Sm
1 1 1 1
direct
0.750 0.750 0.750 Ir
0.000 0.000 0.000 Tb
0.250 0.250 0.250 Cu
0.500 0.500 0.500 Sm
```

Values from the calculation:
- DFT formation energy (kJ/mol of atoms) = -50.0

---

# 4
# TaHgW2

TaHgW2 after structural relaxation (PBE, the Alexandria database).

The structure in POSCAR format:
```
TaHgW2
1.0
4.028 0.000 0.000
0.000 4.029 0.000
0.000 0.000 4.271
Hg Ta W
1 1 2
direct
0.500 0.000 0.500 Hg
0.000 0.500 0.500 Ta
0.000 0.000 0.000 W
0.500 0.500 0.000 W
```

Values from the calculation:
- DFT formation energy (kJ/mol of atoms) = 45.1

---

# 5
# Na2In2Ge

Na2In2Ge after structural relaxation (PBE, the Alexandria database).

The structure in POSCAR format:
```
Na2In2Ge
1.0
4.656 0.000 0.000
0.000 4.656 0.000
-2.328 -2.328 12.703
Na In Ge
4 4 2
direct
0.827 0.827 0.655 Na
0.577 0.077 0.155 Na
0.923 0.423 0.845 Na
0.173 0.173 0.345 Na
0.437 0.937 0.874 In
0.687 0.687 0.374 In
0.313 0.313 0.626 In
0.063 0.563 0.126 In
0.500 0.500 0.000 Ge
0.250 0.750 0.500 Ge
```

Values from the calculation:
- DFT formation energy (kJ/mol of atoms) = -2.2

---

# 6
# LiPr2CuAu2

LiPr2CuAu2 after structural relaxation (PBE, the Alexandria database).

The structure in POSCAR format:
```
LiPr2CuAu2
1.0
-5.934 -0.485 -1.183
0.612 -6.069 -0.580
1.297 2.454 8.061
Li Pr Cu Au
2 4 2 4
direct
0.000 0.750 0.000 Li
0.000 0.250 0.000 Li
0.426 0.161 0.321 Pr
0.574 0.839 0.679 Pr
0.105 0.339 0.679 Pr
0.895 0.661 0.321 Pr
0.500 0.750 0.000 Cu
0.500 0.250 0.000 Cu
0.878 0.118 0.235 Au
0.357 0.618 0.235 Au
0.643 0.382 0.765 Au
0.122 0.882 0.765 Au
```

Values from the calculation:
- DFT formation energy (kJ/mol of atoms) = -48.1

---

# 7
# Ce3Ga3Au2

Ce3Ga3Au2 after structural relaxation (PBE, the Alexandria database).

The structure in POSCAR format:
```
Ce3Ga3Au2
1.0
-4.350 0.198 1.373
1.253 -4.838 -2.925
3.749 -6.802 12.858
Ce Ga Au
6 6 4
direct
0.902 0.804 0.392 Ce
0.098 0.196 0.892 Ce
0.902 0.804 0.108 Ce
0.098 0.196 0.608 Ce
0.642 0.283 0.250 Ce
0.358 0.717 0.750 Ce
0.608 0.216 0.461 Ga
0.392 0.784 0.961 Ga
0.608 0.216 0.039 Ga
0.392 0.784 0.539 Ga
0.352 0.705 0.250 Ga
0.648 0.295 0.750 Ga
0.801 0.603 0.897 Au
0.199 0.397 0.397 Au
0.801 0.603 0.603 Au
0.199 0.397 0.103 Au
```

Values from the calculation:
- DFT formation energy (kJ/mol of atoms) = -62.1

---

# 8
# Er4MgAgRu2

Er4MgAgRu2 after structural relaxation (PBE, the Alexandria database).

The structure in POSCAR format:
```
Er4MgAgRu2
1.0
4.941 0.000 0.000
2.471 4.279 0.000
2.471 1.426 8.087
Er Mg Ag Ru
4 1 1 2
direct
0.377 0.377 0.869 Er
0.873 0.873 0.380 Er
0.127 0.127 0.620 Er
0.623 0.623 0.131 Er
0.000 0.000 0.000 Mg
0.500 0.500 0.500 Ag
0.748 0.748 0.757 Ru
0.252 0.252 0.243 Ru
```

Values from the calculation:
- DFT formation energy (kJ/mol of atoms) = -30.4

---

Please write out number 6 again, unchanged.
# LiPr2CuAu2

LiPr2CuAu2 after structural relaxation (PBE, the Alexandria database).

The structure in POSCAR format:
```
LiPr2CuAu2
1.0
-5.934 -0.485 -1.183
0.612 -6.069 -0.580
1.297 2.454 8.061
Li Pr Cu Au
2 4 2 4
direct
0.000 0.750 0.000 Li
0.000 0.250 0.000 Li
0.426 0.161 0.321 Pr
0.574 0.839 0.679 Pr
0.105 0.339 0.679 Pr
0.895 0.661 0.321 Pr
0.500 0.750 0.000 Cu
0.500 0.250 0.000 Cu
0.878 0.118 0.235 Au
0.357 0.618 0.235 Au
0.643 0.382 0.765 Au
0.122 0.882 0.765 Au
```

Values from the calculation:
- DFT formation energy (kJ/mol of atoms) = -48.1